RbHg6Pd6: optimized geometry, PBE-GGA.

Output
Formation enthalpy at 0 K: -0.187 eV/atom
Space group: No. 71
DFT total energy: -2.80 eV/atom
Mass density: 11.99 g/cm3

```
RbHg6Pd6
1.0
-1.617 -3.022 -4.624
4.560 -5.632 -1.496
-4.223 -5.831 1.706
Hg Pd Rb
6 6 1
direct
0.000 0.663 0.337
0.342 0.658 0.658
0.000 0.337 0.663
0.321 0.179 0.179
0.679 0.821 0.821
0.658 0.342 0.342
0.500 0.000 0.500
0.000 0.500 0.000
0.000 0.000 0.500
0.500 0.753 0.247
0.500 0.247 0.753
0.500 0.500 0.000
0.000 0.000 0.000
```